[1]
Density functional theory data (PBE) for an optimized crystal structure of Tb3MgSe6.

The structure in POSCAR format:
```
Tb3MgSe6
1.0
-4.945 3.934 3.126
0.432 -5.108 7.113
6.062 5.995 2.044
Se Mg Tb
12 2 6
Direct
0.184 0.700 0.628
0.208 0.097 0.554
0.147 0.773 0.227
0.684 0.628 0.700
0.708 0.903 0.446
0.688 0.967 0.033
0.647 0.227 0.773
0.184 0.372 0.300
0.208 0.446 0.903
0.708 0.554 0.097
0.188 0.033 0.967
0.684 0.300 0.372
0.009 0.203 0.797
0.509 0.797 0.203
0.984 0.722 0.920
0.889 0.599 0.401
0.389 0.401 0.599
0.984 0.080 0.278
0.484 0.920 0.722
0.484 0.278 0.080
```

Output
Magnetization in Bohr magnetons per cell: 0.00
Formation energy from raw total energies in eV per atom: -1.574

[2]
Density functional theory data (PBE) for an optimized crystal structure of LiTlCd3.

The structure in POSCAR format:
```
LiTlCd3
1.0
4.251 0.000 0.000
0.000 6.541 0.000
0.000 0.000 16.564
Cd Li Tl
12 4 4
Direct
0.250 0.128 0.139
0.750 0.372 0.639
0.250 0.142 0.545
0.750 0.358 0.045
0.750 0.388 0.248
0.250 0.112 0.748
0.250 0.612 0.752
0.750 0.872 0.861
0.750 0.888 0.252
0.750 0.858 0.455
0.250 0.642 0.955
0.250 0.628 0.361
0.250 0.122 0.951
0.250 0.622 0.549
0.750 0.878 0.049
0.750 0.378 0.451
0.250 0.140 0.354
0.250 0.640 0.146
0.750 0.360 0.854
0.750 0.860 0.646
```

Output
Magnetization in Bohr magnetons per cell: 0.00
Total DFT energy (no corrections) in eV/atom: -1.466

[3]
Density functional theory data (PBE) for an optimized crystal structure of AsIrN2O.

The structure in POSCAR format:
```
AsIrN2O
1.0
-1.537 -3.124 -1.559
2.270 0.400 -3.039
2.501 -2.029 1.601
N As O Ir
2 1 1 1
Direct
0.000 0.500 0.000
0.500 0.000 0.000
0.000 0.000 0.000
0.000 0.000 0.500
0.500 0.500 0.500
```

Output
Magnetization in Bohr magnetons per cell: 0.00
Formation energy from raw total energies in eV per atom: 1.390

[4]
Density functional theory data (PBE) for an optimized crystal structure of TmNpPb2O8.

The structure in POSCAR format:
```
TmNpPb2O8
1.0
5.164 -0.040 -0.003
-0.009 5.164 -0.006
0.004 0.008 6.877
O Pb Np Tm
8 2 1 1
Direct
0.821 0.179 0.230
0.179 0.821 0.770
0.695 0.696 0.500
0.821 0.180 0.770
0.295 0.294 0.000
0.705 0.706 0.000
0.179 0.820 0.230
0.305 0.304 0.500
0.500 0.500 0.253
0.500 0.500 0.747
0.000 0.000 0.000
0.000 0.000 0.500
```

Output
Magnetization in Bohr magnetons per cell: 1.10
Formation energy from raw total energies in eV per atom: -2.081

[5]
Density functional theory data (PBE) for an optimized crystal structure of NpCu4Pd8.

The structure in POSCAR format:
```
NpCu4Pd8
1.0
-2.089 -1.495 -4.325
1.275 -6.545 -1.279
-6.291 -2.375 0.934
Pd Np Cu
8 1 4
Direct
0.345 0.655 0.655
0.000 0.345 0.655
0.716 0.784 0.784
0.000 0.655 0.345
0.284 0.216 0.216
0.500 0.216 0.784
0.655 0.345 0.345
0.500 0.784 0.216
0.000 0.000 0.000
0.500 0.500 0.000
0.500 0.000 0.500
0.000 0.500 0.000
0.000 0.000 0.500
```

Output
Magnetization in Bohr magnetons per cell: 3.31
Total DFT energy (no corrections) in eV/atom: -5.645

[6]
Density functional theory data (PBE) for an optimized crystal structure of CuPd2RhPb.

The structure in POSCAR format:
```
CuPd2RhPb
1.0
4.632 0.000 0.000
0.000 4.593 0.000
0.000 0.000 4.632
Pd Rh Pb Cu
2 1 1 1
Direct
0.500 0.000 0.000
0.000 0.000 0.500
0.000 0.500 0.000
0.500 0.500 0.500
0.000 0.000 0.000
```

Output
Magnetization in Bohr magnetons per cell: 0.00
Total DFT energy (no corrections) in eV/atom: -4.572

What did we get for D(E_F)? Answer: 10.5, 6.3, 4.6, 5.9, 17.3, 4.1 states/eV/cell, in the order shown.